# 1
Entry from Alexandria via LeMat-Bulk: a PBEsol-optimized structure of Al5Ag3 (SCAN).

## Properties
total energy	-16.627	eV per atom
size of the total moment	0.0047	μB/atom
energy of formation	-0.020	eV per atom

Unit cell a=4.0011 b=4.0011 c=8.1627 alpha=90.00 beta=90.00 gamma=90.00
Space group P-4m2 (No. 115)
Asymmetric unit:
Al 0.0000 0.0000 0.0000 (multiplicity 1)
Al 0.0000 0.0000 0.5000 (multiplicity 1)
Al 0.0000 0.5000 0.2533 (multiplicity 2)
Al 0.5000 0.5000 0.0000 (multiplicity 1)
Ag 0.0000 0.5000 0.7546 (multiplicity 2)
Ag 0.5000 0.5000 0.5000 (multiplicity 1)

---

# 2
Entry from Alexandria via LeMat-Bulk: a PBEsol-optimized structure of Al5Ag3 (SCAN).

## Properties
total energy	-16.631	eV per atom
size of the total moment	0.0016	μB/atom
energy of formation	-0.024	eV per atom

Unit cell a=3.9603 b=4.0528 c=16.2707 alpha=90.00 beta=90.00 gamma=90.00
Space group Immm (No. 71)
Asymmetric unit:
Al 0.0000 0.0000 0.0000 (multiplicity 2)
Al 0.0000 0.0000 0.2491 (multiplicity 4)
Al 0.0000 0.5000 0.1224 (multiplicity 4)
Ag 0.0000 0.0000 0.5000 (multiplicity 2)
Ag 0.0000 0.5000 0.3716 (multiplicity 4)

---

# 3
Entry from Alexandria via LeMat-Bulk: a PBEsol-optimized structure of AlAg (SCAN).

## Properties
total energy	-19.619	eV per atom
size of the total moment	0.0023	μB/atom
energy of formation	-0.060	eV per atom

Unit cell a=4.8162 b=5.6574 c=5.0248 alpha=90.00 beta=109.14 gamma=90.00
Space group P2 (No. 3)
Asymmetric unit:
Al 0.0000 0.0000 0.0000 (multiplicity 1)
Al 0.0000 0.2437 0.5000 (multiplicity 1)
Al 0.0000 0.7465 0.5000 (multiplicity 1)
Al 0.5000 0.7339 0.0000 (multiplicity 1)
Ag 0.0000 0.5043 0.0000 (multiplicity 1)
Ag 0.5000 0.2310 0.0000 (multiplicity 1)
Ag 0.5000 0.4946 0.5000 (multiplicity 1)
Ag 0.5000 0.9908 0.5000 (multiplicity 1)

---

# 4
Entry from Alexandria via LeMat-Bulk: a PBEsol-optimized structure of AlAg (SCAN).

## Properties
total energy	-19.612	eV per atom
size of the total moment	0.0010	μB/atom
energy of formation	-0.052	eV per atom

Unit cell a=3.9513 b=3.9822 c=16.4376 alpha=90.00 beta=90.00 gamma=90.00
Space group Imma (No. 74)
Asymmetric unit:
Al 0.0000 0.2500 0.0615 (multiplicity 4)
Al 0.0000 0.2500 0.8135 (multiplicity 4)
Ag 0.0000 0.2500 0.3116 (multiplicity 4)
Ag 0.0000 0.2500 0.5636 (multiplicity 4)

---

# 5
Entry from Alexandria via LeMat-Bulk: a PBEsol-optimized structure of Al3Ag (SCAN).

## Properties
total energy	-13.639	eV per atom
size of the total moment	0.0062	μB/atom
energy of formation	0.017	eV per atom

Unit cell a=4.0316 b=4.0316 c=4.0316 alpha=90.00 beta=90.00 gamma=90.00
Space group Pm-3m (No. 221)
Asymmetric unit:
Al 0.0000 0.0000 0.5000 (multiplicity 3)
Ag 0.5000 0.5000 0.5000 (multiplicity 1)

---

# 6
Entry from Alexandria via LeMat-Bulk: a PBEsol-optimized structure of AlAg (SCAN).

## Properties
total energy	-19.616	eV per atom
size of the total moment	0.0000	μB/atom
energy of formation	-0.056	eV per atom

Unit cell a=3.9820 b=3.9820 c=24.4101 alpha=90.00 beta=90.00 gamma=90.00
Space group I4mm (No. 107)
Asymmetric unit:
Al 0.0000 0.0000 0.0000 (multiplicity 2)
Al 0.0000 0.0000 0.1678 (multiplicity 2)
Al 0.0000 0.0000 0.3382 (multiplicity 2)
Al 0.0000 0.0000 0.6656 (multiplicity 2)
Al 0.0000 0.5000 0.2513 (multiplicity 4)
Ag 0.0000 0.0000 0.5020 (multiplicity 2)
Ag 0.0000 0.0000 0.8299 (multiplicity 2)
Ag 0.0000 0.5000 0.0860 (multiplicity 4)
Ag 0.0000 0.5000 0.4176 (multiplicity 4)

---

# 7
Entry from Alexandria via LeMat-Bulk: a PBEsol-optimized structure of Al4Ag5 (SCAN).

## Properties
total energy	-20.914	eV per atom
size of the total moment	0.0000	μB/atom
energy of formation	-0.042	eV per atom

Unit cell a=7.7615 b=7.7615 c=5.5890 alpha=90.00 beta=90.00 gamma=120.00
Space group P6_3/mcm (No. 193)
Asymmetric unit:
Al 0.0000 0.0000 0.0000 (multiplicity 2)
Al 0.0000 0.3489 0.2500 (multiplicity 6)
Ag 0.0000 0.3166 0.7500 (multiplicity 6)
Ag 0.3333 0.6667 0.0000 (multiplicity 4)

---

# 8
Entry from Alexandria via LeMat-Bulk: a PBEsol-optimized structure of Al7Ag4 (SCAN).

## Properties
total energy	-16.407	eV per atom
size of the total moment	0.0000	μB/atom
energy of formation	-0.068	eV per atom

Unit cell a=18.4696 b=2.9313 c=6.7676 alpha=90.00 beta=103.63 gamma=90.00
Space group C2/m (No. 12)
Asymmetric unit:
Al 0.0000 0.0000 0.0000 (multiplicity 2)
Al 0.0447 0.5000 0.3678 (multiplicity 4)
Al 0.0922 0.0000 0.7327 (multiplicity 4)
Al 0.1817 0.0000 0.4515 (multiplicity 4)
Ag 0.1325 0.5000 0.0959 (multiplicity 4)
Ag 0.2243 0.5000 0.8065 (multiplicity 4)

---

- What is the formula in the fourth record?
  AlAg